Arrangement 1

Density functional theory data (PBE) for a relaxed TiFe3Rh crystal.

Values from the calculation:
The space-group type is Pm-3m, No. 221.

a = 4.363 Å, b = 4.363 Å, c = 4.363 Å
α = 90.00°, β = 90.00°, γ = 90.00°
Positions (direct):
Ti 0.000 0.000 0.000
Fe 0.000 0.500 0.500
Fe 0.500 0.000 0.500
Fe 0.500 0.500 0.000
Rh 0.500 0.500 0.500

=====

Arrangement 2

Density functional theory data (PBE) for a relaxed TiFe3Rh crystal.

Values from the calculation:
The space-group type is Pm-3m, No. 221.

a = 4.242 Å, b = 4.242 Å, c = 4.242 Å
α = 90.00°, β = 90.00°, γ = 90.00°
Positions (direct):
Ti 0.000 0.000 0.000
Fe 0.000 0.000 0.500
Fe 0.000 0.500 0.000
Fe 0.500 0.000 0.000
Rh 0.500 0.500 0.500

=====

Which structure is most stable? arrangement 2, by 0.399 eV/atom over the runner-up.

=====

Arrangement 1

Density functional theory data (PBE) for a relaxed TlFe2Rh2 crystal.

Values from the calculation:
The space-group type is P4/mbm, No. 127.

a = 7.376 Å, b = 7.376 Å, c = 2.898 Å
α = 90.00°, β = 90.00°, γ = 90.00°
Positions (direct):
Tl 0.000 0.000 0.000
Tl 0.500 0.500 0.000
Fe 0.141 0.359 0.000
Fe 0.359 0.859 0.000
Fe 0.641 0.141 0.000
Fe 0.859 0.641 0.000
Rh 0.148 0.648 0.500
Rh 0.352 0.148 0.500
Rh 0.648 0.852 0.500
Rh 0.852 0.352 0.500

=====

Arrangement 2

Density functional theory data (PBE) for a relaxed TlFe2Rh2 crystal.

Values from the calculation:
The space-group type is P4/mbm, No. 127.

a = 7.364 Å, b = 7.364 Å, c = 2.907 Å
α = 90.00°, β = 90.00°, γ = 90.00°
Positions (direct):
Tl 0.000 0.000 0.000
Tl 0.500 0.500 0.000
Fe 0.157 0.343 0.500
Fe 0.343 0.843 0.500
Fe 0.657 0.157 0.500
Fe 0.843 0.657 0.500
Rh 0.135 0.635 0.000
Rh 0.365 0.135 0.000
Rh 0.635 0.865 0.000
Rh 0.865 0.365 0.000

=====

Which structure is most stable? arrangement 2, by 0.042 eV/atom over the runner-up.